## 1
VASP calculation (GGA-PBE) on a relaxed Ag2Pd3 crystal.

Its crystal system is trigonal.

a = 2.8362 Å, b = 2.8362 Å, c = 35.0591 Å
α = 90.00°, β = 90.00°, γ = 120.00°
Space group R-3m (No. 166, hexagonal axes)
Unique sites:
Ag1 0.0000 0.0000 0.2015 [6 per cell]
Pd1 0.0000 0.0000 0.0000 [3 per cell]
Pd2 0.0000 0.0000 0.3982 [6 per cell]


## 2
VASP calculation (GGA-PBE) on a relaxed Ag2Pd3 crystal.

Its crystal system is trigonal.

a = 7.7545 Å, b = 7.7545 Å, c = 10.2060 Å
α = 90.00°, β = 90.00°, γ = 120.00°
Space group R-3c (No. 167, hexagonal axes)
Unique sites:
Ag1 0.0000 0.0000 0.1243 [12 per cell]
Pd1 0.0000 0.3196 0.2500 [18 per cell]


Relative energy table, unit kJ/mol of atoms: 1 0.0; 2 31.2


## 1
VASP calculation (GGA-PBE) on a relaxed Ag6Pd crystal.

Its crystal system is cubic.

a = 7.417 Å, b = 7.417 Å, c = 7.417 Å
α = 90.00°, β = 90.00°, γ = 90.00°
Space group Im-3m (No. 229)
Unique sites:
Ag1 0.000 0.250 0.500 [12 per cell]
Pd1 0.000 0.000 0.000 [2 per cell]


## 2
VASP calculation (GGA-PBE) on a relaxed Ag6Pd crystal.

Its crystal system is tetragonal.

a = 4.041 Å, b = 4.041 Å, c = 8.167 Å
α = 90.00°, β = 90.00°, γ = 90.00°
Space group P4/mmm (No. 123)
Unique sites:
Ag1 0.000 0.000 0.000 [1 per cell]
Ag2 0.000 0.500 0.244 [4 per cell]
Ag3 0.500 0.500 0.500 [1 per cell]
Pd1 0.000 0.000 0.500 [1 per cell]


Relative energy table, unit kJ/mol of atoms: 1 85.0; 2 0.0


## 1
VASP calculation (GGA-PBE) on a relaxed Ag4Pd crystal.

Its crystal system is tetragonal.

a = 5.993 Å, b = 5.993 Å, c = 5.154 Å
α = 90.00°, β = 90.00°, γ = 90.00°
Space group P4/mcc (No. 124)
Unique sites:
Ag1 0.132 0.306 0.000 [8 per cell]
Pd1 0.500 0.500 0.250 [2 per cell]


## 2
VASP calculation (GGA-PBE) on a relaxed Ag4Pd crystal.

Its crystal system is monoclinic.

a = 7.735 Å, b = 4.794 Å, c = 5.155 Å
α = 90.00°, β = 114.01°, γ = 90.00°
Space group C2/m (No. 12)
Unique sites:
Ag1 0.102 0.000 0.304 [4 per cell]
Ag2 0.200 0.500 0.100 [4 per cell]
Pd1 0.000 0.500 0.500 [2 per cell]


Relative energy table, unit kJ/mol of atoms: 1 12.2; 2 0.0


## 1
VASP calculation (GGA-PBE) on a relaxed Ag5Pd2 crystal.

Its crystal system is monoclinic.

a = 9.156 Å, b = 4.078 Å, c = 6.479 Å
α = 90.00°, β = 98.63°, γ = 90.00°
Space group C2/m (No. 12)
Unique sites:
Ag1 0.000 0.000 0.000 [2 per cell]
Ag2 0.142 0.000 0.430 [4 per cell]
Ag3 0.214 0.500 0.143 [4 per cell]
Pd1 0.071 0.500 0.713 [4 per cell]


## 2
VASP calculation (GGA-PBE) on a relaxed Ag5Pd2 crystal.

Its crystal system is monoclinic.

a = 12.874 Å, b = 5.009 Å, c = 7.438 Å
α = 90.00°, β = 92.43°, γ = 90.00°
Space group C2/c (No. 15)
Unique sites:
Ag1 0.000 0.170 0.250 [4 per cell]
Ag2 0.140 0.168 0.963 [8 per cell]
Ag3 0.214 0.337 0.322 [8 per cell]
Pd1 0.071 0.334 0.608 [8 per cell]


Relative energy table, unit kJ/mol of atoms: 1 0.0; 2 0.9


## 1
VASP calculation (GGA-PBE) on a relaxed Pm6AgPd5 crystal.

Its crystal system is monoclinic.

a = 7.350 Å, b = 12.471 Å, c = 7.304 Å
α = 90.00°, β = 108.74°, γ = 90.00°
Space group C2/m (No. 12)
Unique sites:
Pm1 0.231 0.000 0.245 [4 per cell]
Pm2 0.237 0.174 0.737 [8 per cell]
Ag1 0.000 0.500 0.000 [2 per cell]
Pd1 0.000 0.000 0.500 [2 per cell]
Pd2 0.000 0.171 0.000 [4 per cell]
Pd3 0.000 0.344 0.500 [4 per cell]


## 2
VASP calculation (GGA-PBE) on a relaxed Pm6AgPd5 crystal.

Its crystal system is monoclinic.

a = 16.164 Å, b = 7.240 Å, c = 5.124 Å
α = 90.00°, β = 108.14°, γ = 90.00°
Space group C2/m (No. 12)
Unique sites:
Pm1 0.000 0.242 0.000 [4 per cell]
Pm2 0.170 0.246 0.670 [8 per cell]
Ag1 0.000 0.500 0.500 [2 per cell]
Pd1 0.000 0.000 0.500 [2 per cell]
Pd2 0.161 0.500 0.160 [4 per cell]
Pd3 0.168 0.000 0.167 [4 per cell]


Relative energy table, unit kJ/mol of atoms: 1 8.5; 2 0.0


## 1
VASP calculation (GGA-PBE) on a relaxed Pm4AgPd crystal.

Its crystal system is triclinic.

a = 4.814 Å, b = 5.489 Å, c = 7.224 Å
α = 101.57°, β = 90.27°, γ = 90.03°
Space group P-1 (No. 2)
Unique sites:
Pm1 0.001 0.050 0.261 [2 per cell]
Pm2 0.498 0.462 0.738 [2 per cell]
Ag1 0.000 0.500 0.000 [1 per cell]
Pd1 0.500 0.000 0.500 [1 per cell]


## 2
VASP calculation (GGA-PBE) on a relaxed Pm4AgPd crystal.

Its crystal system is cubic.

a = 13.931 Å, b = 13.931 Å, c = 13.931 Å
α = 90.00°, β = 90.00°, γ = 90.00°
Space group F-43m (No. 216)
Unique sites:
Pm1 0.000 0.000 0.185 [24 per cell]
Pm2 0.060 0.250 0.750 [24 per cell]
Pm3 0.107 0.107 0.393 [16 per cell]
Ag1 0.167 0.167 0.167 [16 per cell]
Pd1 0.104 0.104 0.604 [16 per cell]


Relative energy table, unit kJ/mol of atoms: 1 20.3; 2 0.0


## 1
VASP calculation (GGA-PBE) on a relaxed PmAgPd crystal.

Its crystal system is orthorhombic.

a = 5.283 Å, b = 8.627 Å, c = 5.793 Å
α = 90.00°, β = 90.00°, γ = 90.00°
Space group Cmcm (No. 63)
Unique sites:
Pm1 0.000 0.159 0.250 [4 per cell]
Ag1 0.000 0.500 0.000 [4 per cell]
Pd1 0.000 0.189 0.750 [4 per cell]


## 2
VASP calculation (GGA-PBE) on a relaxed PmAgPd crystal.

Its crystal system is tetragonal.

a = 3.755 Å, b = 3.755 Å, c = 9.294 Å
α = 90.00°, β = 90.00°, γ = 90.00°
Space group I4mm (No. 107)
Unique sites:
Pm1 0.000 0.000 0.000 [2 per cell]
Ag1 0.000 0.000 0.322 [2 per cell]
Pd1 0.000 0.000 0.658 [2 per cell]


Relative energy table, unit kJ/mol of atoms: 1 0.0; 2 4.5


## 1
VASP calculation (GGA-PBE) on a relaxed PmAgPd crystal.

Its crystal system is trigonal.

a = 4.6486 Å, b = 4.6486 Å, c = 3.6218 Å
α = 90.00°, β = 90.00°, γ = 120.00°
Space group P3m1 (No. 156)
Unique sites:
Pm1 0.0000 0.0000 0.0000 [1 per cell]
Ag1 0.6667 0.3333 0.4994 [1 per cell]
Pd1 0.3333 0.6667 0.5012 [1 per cell]


## 2
VASP calculation (GGA-PBE) on a relaxed PmAgPd crystal.

Its crystal system is cubic.

a = 6.690 Å, b = 6.690 Å, c = 6.690 Å
α = 90.00°, β = 90.00°, γ = 90.00°
Space group F-43m (No. 216)
Unique sites:
Pm1 0.000 0.000 0.000 [4 per cell]
Ag1 0.000 0.000 0.500 [4 per cell]
Pd1 0.250 0.250 0.250 [4 per cell]


Relative energy table, unit kJ/mol of atoms: 1 0.0; 2 5.5


## 1
VASP calculation (GGA-PBE) on a relaxed PmAgPd2 crystal.

Its crystal system is tetragonal.

a = 3.596 Å, b = 3.596 Å, c = 6.084 Å
α = 90.00°, β = 90.00°, γ = 90.00°
Space group P4/mmm (No. 123)
Unique sites:
Pm1 0.000 0.000 0.000 [1 per cell]
Ag1 0.000 0.000 0.500 [1 per cell]
Pd1 0.500 0.500 0.264 [2 per cell]


## 2
VASP calculation (GGA-PBE) on a relaxed PmAgPd2 crystal.

Its crystal system is cubic.

a = 6.816 Å, b = 6.816 Å, c = 6.816 Å
α = 90.00°, β = 90.00°, γ = 90.00°
Space group Fm-3m (No. 225)
Unique sites:
Pm1 0.000 0.000 0.000 [4 per cell]
Ag1 0.000 0.000 0.500 [4 per cell]
Pd1 0.250 0.250 0.250 [8 per cell]


## 3
VASP calculation (GGA-PBE) on a relaxed PmAgPd2 crystal.

Its crystal system is tetragonal.

a = 4.395 Å, b = 4.395 Å, c = 3.976 Å
α = 90.00°, β = 90.00°, γ = 90.00°
Space group P4/mmm (No. 123)
Unique sites:
Pm1 0.000 0.000 0.000 [1 per cell]
Ag1 0.500 0.500 0.000 [1 per cell]
Pd1 0.000 0.500 0.500 [2 per cell]


Relative energy table, unit kJ/mol of atoms: 1 6.6; 2 5.2; 3 0.0


## 1
VASP calculation (GGA-PBE) on a relaxed Pm2Ag3Pd crystal.

Its crystal system is orthorhombic.

a = 3.603 Å, b = 4.806 Å, c = 8.057 Å
α = 90.00°, β = 90.00°, γ = 90.00°
Space group Pmm2 (No. 25)
Unique sites:
Pm1 0.000 0.000 0.000 [1 per cell]
Pm2 0.000 0.500 0.460 [1 per cell]
Ag1 0.500 0.000 0.645 [1 per cell]
Ag2 0.500 0.500 0.142 [1 per cell]
Ag3 0.500 0.500 0.804 [1 per cell]
Pd1 0.500 0.000 0.306 [1 per cell]


## 2
VASP calculation (GGA-PBE) on a relaxed Pm2Ag3Pd crystal.

Its crystal system is orthorhombic.

a = 7.098 Å, b = 9.350 Å, c = 16.640 Å
α = 90.00°, β = 90.00°, γ = 90.00°
Space group Fmmm (No. 69)
Unique sites:
Pm1 0.248 0.000 0.000 [8 per cell]
Pm2 0.250 0.250 0.250 [8 per cell]
Ag1 0.000 0.000 0.333 [8 per cell]
Ag2 0.000 0.248 0.083 [16 per cell]
Pd1 0.000 0.000 0.169 [8 per cell]


Relative energy table, unit kJ/mol of atoms: 1 0.0; 2 0.8


## 1
VASP calculation (GGA-PBE) on a relaxed Pm4AgPd2 crystal.

Its crystal system is tetragonal.

a = 9.191 Å, b = 9.191 Å, c = 8.919 Å
α = 90.00°, β = 90.00°, γ = 90.00°
Space group I-42d (No. 122)
Unique sites:
Pm1 0.063 0.683 0.428 [16 per cell]
Ag1 0.000 0.000 0.500 [4 per cell]
Pd1 0.132 0.750 0.125 [8 per cell]


## 2
VASP calculation (GGA-PBE) on a relaxed Pm4AgPd2 crystal.

Its crystal system is trigonal.

a = 5.0985 Å, b = 5.0985 Å, c = 25.0455 Å
α = 90.00°, β = 90.00°, γ = 120.00°
Space group R-3m (No. 166, hexagonal axes)
Unique sites:
Pm1 0.0000 0.0000 0.1217 [6 per cell]
Pm2 0.0000 0.0000 0.3726 [6 per cell]
Ag1 0.0000 0.0000 0.5000 [3 per cell]
Pd1 0.0000 0.0000 0.2525 [6 per cell]


Relative energy table, unit kJ/mol of atoms: 1 0.0; 2 1.4